Crystalline Sr5Fe4CoO10 at its relaxed geometry, computed with PBE with a Hubbard U.

Structure (CIF):
```
data_Sr5Fe4CoO10
_space_group_name_H-M_alt 'P 4/m m m'
_space_group_IT_number 123
_space_group_name_Hall '-P 4 2'
_cell_length_a 4.063
_cell_length_b 4.063
_cell_length_c 17.375
_cell_angle_alpha 90.00
_cell_angle_beta 90.00
_cell_angle_gamma 90.00
loop_
_atom_site_label
_atom_site_fract_x
_atom_site_fract_y
_atom_site_fract_z
_atom_site_occupancy
Sr1 0.000 0.000 0.000 1
Sr2 0.000 0.000 0.201 1
Sr3 0.000 0.000 0.402 1
Fe1 0.500 0.500 0.100 1
Fe2 0.500 0.500 0.301 1
Co1 0.500 0.500 0.500 1
O1 0.000 0.500 0.100 1
O2 0.000 0.500 0.301 1
O3 0.000 0.500 0.500 1
```

Magnetization ... 18.88 μB per formula unit
Electronic total energy ... -6.28 eV/atom
Calculated density ... 5.10 g/cm3